The following is a DFT calculation (PBE) of a geometry-optimized Be3PF structure.

Results
As for the final energy: -16.95 eV/f.u. As for the volume: 13.26 Å³/atom. The energy relative to the elements, uncorrected comes out at 0.303 eV/atom. Its excess energy over the best structure of this formula in the dataset is 80.3 meV per atom.

Lattice parameters (Å, degrees): 4.0475 4.0475 4.0475 90.00 90.00 90.00
Last column: nearest neighbours and their distance in Å.
Space group Pm-3m (No. 221)
Unique sites:
Be  0.0000  0.0000  0.5000  2 P 2.02
P  0.0000  0.0000  0.0000  6 Be 2.02
F  0.5000  0.5000  0.5000  12 Be 2.86